No. 1
Tb2CeSn: relaxed, PBE.

**Formation enthalpy at 0 K**: -0.198 eV/atom
**SG**: Fm-3m, No. 225
**Energy relative to the lowest polymorph listed for this composition**: 78 kJ/mol of formula units
**Total DFT energy (no corrections)**: -0.367 Ry per atom

Structure (CIF):
```
data_Tb2CeSn
_symmetry_space_group_name_H-M 'P 1'
_symmetry_Int_Tables_number 1
_cell_length_a 5.391
_cell_length_b 5.391
_cell_length_c 5.391
_cell_angle_alpha 60.00
_cell_angle_beta 60.00
_cell_angle_gamma 60.00
loop_
_symmetry_equiv_pos_as_xyz
'x,y,z'
loop_
_atom_site_label
_atom_site_type_symbol
_atom_site_fract_x
_atom_site_fract_y
_atom_site_fract_z
Tb1 Tb 0.250 0.250 0.250
Tb2 Tb 0.750 0.750 0.750
Ce1 Ce 0.000 0.000 0.000
Sn1 Sn 0.500 0.500 0.500
```

---

No. 2
Na2Pt2PbO6: relaxed, PBE.

**SG**: C2/m, No. 12
**Formation energy from raw total energies**: -0.84 eV per atom
**Total DFT energy (no corrections)**: -0.383 Ry per atom

Structure (CIF):
```
data_Na2Pt2PbO6
_symmetry_space_group_name_H-M 'P 1'
_symmetry_Int_Tables_number 1
_cell_length_a 5.736
_cell_length_b 5.736
_cell_length_c 5.964
_cell_angle_alpha 99.26
_cell_angle_beta 99.26
_cell_angle_gamma 122.20
loop_
_symmetry_equiv_pos_as_xyz
'x,y,z'
loop_
_atom_site_label
_atom_site_type_symbol
_atom_site_fract_x
_atom_site_fract_y
_atom_site_fract_z
Na1 Na 0.163 0.837 0.000
Na2 Na 0.837 0.163 0.000
Pt1 Pt 0.336 0.664 0.500
Pt2 Pt 0.664 0.336 0.500
Pb1 Pb 0.000 0.000 0.500
O1 O 0.058 0.445 0.702
O2 O 0.308 0.308 0.290
O3 O 0.445 0.058 0.702
O4 O 0.555 0.942 0.298
O5 O 0.692 0.692 0.710
O6 O 0.942 0.555 0.298
```

---

No. 3
TbBeOs: relaxed, PBE.

**Formation enthalpy at 0 K**: -0.056 eV/atom
**SG**: C2/c, No. 15
**Energy relative to the lowest polymorph listed for this composition**: 46 kJ/mol of formula units
**Total DFT energy (no corrections)**: -0.484 Ry per atom

Structure (CIF):
```
data_TbBeOs
_symmetry_space_group_name_H-M 'P 1'
_symmetry_Int_Tables_number 1
_cell_length_a 9.096
_cell_length_b 9.096
_cell_length_c 10.087
_cell_angle_alpha 104.55
_cell_angle_beta 104.55
_cell_angle_gamma 24.07
loop_
_symmetry_equiv_pos_as_xyz
'x,y,z'
loop_
_atom_site_label
_atom_site_type_symbol
_atom_site_fract_x
_atom_site_fract_y
_atom_site_fract_z
Tb1 Tb 0.095 0.585 0.342
Tb2 Tb 0.200 0.800 0.750
Tb3 Tb 0.415 0.905 0.158
Tb4 Tb 0.585 0.095 0.842
Tb5 Tb 0.800 0.200 0.250
Tb6 Tb 0.905 0.415 0.658
Be1 Be 0.069 0.578 0.604
Be2 Be 0.422 0.931 0.896
Be3 Be 0.500 0.500 0.000
Be4 Be 0.500 0.500 0.500
Be5 Be 0.578 0.069 0.104
Be6 Be 0.931 0.422 0.396
Os1 Os 0.000 0.500 0.000
Os2 Os 0.172 0.624 0.070
Os3 Os 0.376 0.828 0.430
Os4 Os 0.500 0.000 0.500
Os5 Os 0.624 0.172 0.570
Os6 Os 0.828 0.376 0.930
```

---

No. 4
TmTh2AuC: relaxed, PBE.

**Formation enthalpy at 0 K**: -0.341 eV/atom
**SG**: P4/mmm, No. 123
**Total DFT energy (no corrections)**: -0.493 Ry per atom

Structure (CIF):
```
data_TmTh2AuC
_symmetry_space_group_name_H-M 'P 1'
_symmetry_Int_Tables_number 1
_cell_length_a 5.036
_cell_length_b 5.036
_cell_length_c 4.774
_cell_angle_alpha 90.00
_cell_angle_beta 90.00
_cell_angle_gamma 90.00
loop_
_symmetry_equiv_pos_as_xyz
'x,y,z'
loop_
_atom_site_label
_atom_site_type_symbol
_atom_site_fract_x
_atom_site_fract_y
_atom_site_fract_z
Tm1 Tm 0.000 0.000 0.000
Th1 Th 0.000 0.500 0.500
Th2 Th 0.500 0.000 0.500
Au1 Au 0.500 0.500 0.000
C1 C 0.000 0.000 0.500
```